[1]
# LiAg3Au5, relaxed, DFT PBE-GGA
# **Space-group type**: P4/mbm
# **Magnetic moment**: 0.00 μB per formula unit
# **Volume**: 172.0 Å³/f.u.
# **Polymorph energy (0 for the lowest one)**: 0 kJ/mol of formula units
# **Formation energy from the elements**: 0.085 eV/atom
data_LiAg3Au5
_cell_length_a 7.319
_cell_length_b 7.319
_cell_length_c 6.423
_cell_angle_alpha 90.00
_cell_angle_beta 90.00
_cell_angle_gamma 90.00
_symmetry_space_group_name_H-M 'P 1'
_symmetry_Int_Tables_number 1
loop_
_symmetry_equiv_pos_as_xyz
'x,y,z'
loop_
_atom_site_label
_atom_site_fract_x
_atom_site_fract_y
_atom_site_fract_z
_atom_site_occupancy
Li1 0.000 0.500 0.000 1
Li2 0.500 0.000 0.000 1
Ag1 0.000 0.000 0.000 1
Ag2 0.123 0.377 0.500 1
Ag3 0.377 0.877 0.500 1
Ag4 0.500 0.500 0.000 1
Ag5 0.623 0.123 0.500 1
Ag6 0.877 0.623 0.500 1
Au1 0.000 0.000 0.500 1
Au2 0.193 0.693 0.214 1
Au3 0.193 0.693 0.786 1
Au4 0.307 0.193 0.214 1
Au5 0.307 0.193 0.786 1
Au6 0.500 0.500 0.500 1
Au7 0.693 0.807 0.214 1
Au8 0.693 0.807 0.786 1
Au9 0.807 0.307 0.214 1
Au10 0.807 0.307 0.786 1

[2]
# Li6AgAu12, relaxed, DFT PBE-GGA
# **Space-group type**: R-3
# **Magnetic moment**: 0.00 μB per formula unit
# **Volume**: 343.4 Å³/f.u.
# **Polymorph energy (0 for the lowest one)**: 0 kJ/mol of formula units
# **Formation energy from the elements**: -0.328 eV/atom
data_Li6AgAu12
_cell_length_a 7.448
_cell_length_b 7.448
_cell_length_c 7.448
_cell_angle_alpha 107.07
_cell_angle_beta 107.07
_cell_angle_gamma 107.07
_symmetry_space_group_name_H-M 'P 1'
_symmetry_Int_Tables_number 1
loop_
_symmetry_equiv_pos_as_xyz
'x,y,z'
loop_
_atom_site_label
_atom_site_fract_x
_atom_site_fract_y
_atom_site_fract_z
_atom_site_occupancy
Li1 0.039 0.299 0.415 1
Li2 0.299 0.415 0.039 1
Li3 0.415 0.039 0.299 1
Li4 0.585 0.961 0.701 1
Li5 0.701 0.585 0.961 1
Li6 0.961 0.701 0.585 1
Ag1 0.500 0.500 0.500 1
Au1 0.014 0.905 0.308 1
Au2 0.095 0.692 0.986 1
Au3 0.231 0.670 0.378 1
Au4 0.308 0.014 0.905 1
Au5 0.330 0.622 0.769 1
Au6 0.378 0.231 0.670 1
Au7 0.622 0.769 0.330 1
Au8 0.670 0.378 0.231 1
Au9 0.692 0.986 0.095 1
Au10 0.769 0.330 0.622 1
Au11 0.905 0.308 0.014 1
Au12 0.986 0.095 0.692 1